The following is a GGA-PBE calculation of a relaxed Zr2MnInH crystal, from the Alexandria database.

a = 4.413 Å, b = 4.413 Å, c = 4.228 Å
α = 90.00°, β = 90.00°, γ = 90.00°
Fractional positions:
Zr (0.000, 0.500, 0.000)
Zr (0.500, 0.000, 0.000)
Mn (0.000, 0.000, 0.500)
In (0.500, 0.500, 0.500)
H (0.000, 0.000, 0.000)

Computed properties:
Magnetic moment = 3.4 μB per formula unit
SG = P4/mmm, No. 123
Polymorph energy (0 for the lowest one) = 0.00 eV/f.u.